# 1
Below is crystalline KRe4Se7 at its relaxed geometry, with properties calculated at the PBE level.

abc: 4.6918 14.8312 8.0599
angles: 90.00 90.00 90.00
Atoms (fractional coordinates):
1 K 0.2500 0.2500 0.2195
2 K 0.7500 0.7500 0.7805
3 Re 0.2500 0.0102 0.7744
4 Re 0.2500 0.4898 0.7744
5 Re 0.2500 0.6057 0.2504
6 Re 0.2500 0.8943 0.2504
7 Re 0.7500 0.1057 0.7496
8 Re 0.7500 0.3943 0.7496
9 Re 0.7500 0.5102 0.2256
10 Re 0.7500 0.9898 0.2256
11 Se 0.2500 0.0382 0.1003
12 Se 0.2500 0.1468 0.6271
13 Se 0.2500 0.3532 0.6271
14 Se 0.2500 0.4618 0.1003
15 Se 0.2500 0.6086 0.5761
16 Se 0.2500 0.7500 0.0946
17 Se 0.2500 0.8914 0.5761
18 Se 0.7500 0.1086 0.4239
19 Se 0.7500 0.2500 0.9054
20 Se 0.7500 0.3914 0.4239
21 Se 0.7500 0.5382 0.8997
22 Se 0.7500 0.6468 0.3729
23 Se 0.7500 0.8532 0.3729
24 Se 0.7500 0.9618 0.8997

Calculated values
ΔE_f (raw) ... 0.053 eV per atom

# 2
Below is crystalline Rb2SiPdSe4 at its relaxed geometry, with properties calculated at the PBE level.

abc: 13.0854 11.8340 7.3734
angles: 82.37 63.68 33.95
Atoms (fractional coordinates):
1 Rb 0.0592 0.0592 0.6908
2 Rb 0.3092 0.3092 0.9408
3 Rb 0.6908 0.6908 0.0592
4 Rb 0.9408 0.9408 0.3092
5 Si 0.3750 0.3750 0.3750
6 Si 0.6250 0.6250 0.6250
7 Pd 0.1250 0.1250 0.1250
8 Pd 0.8750 0.8750 0.8750
9 Se 0.0096 0.6212 0.5774
10 Se 0.2918 0.5774 0.6212
11 Se 0.3788 0.9904 0.7082
12 Se 0.4226 0.7082 0.9904
13 Se 0.5774 0.2918 0.0096
14 Se 0.6212 0.0096 0.2918
15 Se 0.7082 0.4226 0.3788
16 Se 0.9904 0.3788 0.4226

Calculated values
ΔE_f (raw) ... -0.699 eV per atom

# 3
Below is crystalline Cs2CdHgH at its relaxed geometry, with properties calculated at the PBE level.

abc: 5.9117 5.9117 5.6702
angles: 90.00 90.00 90.00
Atoms (fractional coordinates):
1 Cs 0.0000 0.5000 0.0000
2 Cs 0.5000 0.0000 0.0000
3 Cd 0.0000 0.0000 0.5000
4 Hg 0.5000 0.5000 0.5000
5 H 0.5000 0.5000 0.0000

Calculated values
Distance to the lowest polymorph of the same formula ... 21 meV per atom

# 4
Below is crystalline KLa2Pb at its relaxed geometry, with properties calculated at the PBE level.

abc: 7.0214 7.0214 3.6270
angles: 102.69 102.69 118.14
Atoms (fractional coordinates):
1 K 0.0000 0.0000 0.0000
2 La 0.0000 0.5000 0.5000
3 La 0.5000 0.0000 0.5000
4 Pb 0.5000 0.5000 0.0000

Calculated values
DFT formation energy ... 34 meV per atom

# 5
Below is crystalline Cu2SeBr at its relaxed geometry, with properties calculated at the PBE level.

abc: 5.6298 5.6298 5.6298
angles: 144.33 101.57 89.26
Atoms (fractional coordinates):
1 Cu 0.2357 0.0000 0.2357
2 Cu 0.7643 0.0000 0.7643
3 Se 0.0000 0.5000 0.5000
4 Br 0.5000 0.5000 0.0000

Calculated values
ΔE_f (raw) ... 0.039 eV per atom
Distance to the lowest polymorph of the same formula ... 236 meV per atom

# 6
Below is crystalline Tb3Tm5Cd2 at its relaxed geometry, with properties calculated at the PBE level.

abc: 10.2557 10.2557 10.2557
angles: 99.92 91.94 142.54
Atoms (fractional coordinates):
1 Tb 0.2188 0.1424 0.3612
2 Tb 0.2500 0.2500 0.0000
3 Tb 0.2812 0.6424 0.9236
4 Tb 0.7188 0.3576 0.0764
5 Tb 0.7500 0.7500 0.0000
6 Tb 0.7812 0.8576 0.6388
7 Tm 0.1726 0.4035 0.5761
8 Tm 0.2500 0.5127 0.2627
9 Tm 0.2500 0.7500 0.5000
10 Tm 0.2500 0.9873 0.7373
11 Tm 0.3274 0.9035 0.2309
12 Tm 0.6726 0.0965 0.7691
13 Tm 0.7500 0.0127 0.2627
14 Tm 0.7500 0.2500 0.5000
15 Tm 0.7500 0.4873 0.7373
16 Tm 0.8274 0.5965 0.4239
17 Cd 0.1340 0.8645 0.9984
18 Cd 0.3660 0.3645 0.7305
19 Cd 0.6340 0.6355 0.2695
20 Cd 0.8660 0.1355 0.0016

Calculated values
DFT formation energy ... 167 meV per atom

# 7
Below is crystalline BiBPt3 at its relaxed geometry, with properties calculated at the PBE level.

abc: 5.6602 5.6602 5.6602
angles: 81.26 81.26 81.26
Atoms (fractional coordinates):
1 Bi 0.0000 0.0000 0.0000
2 Bi 0.5000 0.5000 0.5000
3 B 0.2500 0.2500 0.2500
4 B 0.7500 0.7500 0.7500
5 Pt 0.0216 0.7500 0.4784
6 Pt 0.2500 0.5216 0.9784
7 Pt 0.4784 0.0216 0.7500
8 Pt 0.5216 0.9784 0.2500
9 Pt 0.7500 0.4784 0.0216
10 Pt 0.9784 0.2500 0.5216

Calculated values
DFT formation energy ... 86 meV per atom
Distance to the lowest polymorph of the same formula ... 304 meV per atom

# 8
Below is crystalline HW2S at its relaxed geometry, with properties calculated at the PBE level.

abc: 6.0091 6.0091 6.0091
angles: 134.02 134.02 67.06
Atoms (fractional coordinates):
1 H 0.0000 0.0000 0.0000
2 H 0.7500 0.2500 0.5000
3 W 0.0286 0.6250 0.9036
4 W 0.3750 0.2786 0.4036
5 W 0.7214 0.1250 0.0964
6 W 0.8750 0.9714 0.5964
7 S 0.2500 0.7500 0.5000
8 S 0.5000 0.5000 0.0000

Calculated values
Distance to the lowest polymorph of the same formula ... 0 meV per atom

# 9
Below is crystalline Ac15Pm4Pr at its relaxed geometry, with properties calculated at the PBE level.

abc: 5.5416 5.5416 27.5697
angles: 90.00 90.00 90.00
Atoms (fractional coordinates):
1 Ac 0.0000 0.0000 0.0000
2 Ac 0.0000 0.0000 0.2003
3 Ac 0.0000 0.0000 0.4001
4 Ac 0.0000 0.0000 0.5999
5 Ac 0.0000 0.0000 0.7997
6 Ac 0.0000 0.5000 0.1005
7 Ac 0.0000 0.5000 0.3002
8 Ac 0.0000 0.5000 0.5000
9 Ac 0.0000 0.5000 0.6998
10 Ac 0.0000 0.5000 0.8995
11 Ac 0.5000 0.0000 0.1005
12 Ac 0.5000 0.0000 0.3002
13 Ac 0.5000 0.0000 0.5000
14 Ac 0.5000 0.0000 0.6998
15 Ac 0.5000 0.0000 0.8995
16 Pm 0.5000 0.5000 0.2003
17 Pm 0.5000 0.5000 0.4001
18 Pm 0.5000 0.5000 0.5999
19 Pm 0.5000 0.5000 0.7997
20 Pr 0.5000 0.5000 0.0000

Calculated values
DFT formation energy ... 26 meV per atom

# 10
Below is crystalline Tb5Nd12Y2 at its relaxed geometry, with properties calculated at the PBE level.

abc: 8.7797 8.7797 9.4933
angles: 109.06 109.06 83.67
Atoms (fractional coordinates):
1 Tb 0.0000 0.0000 0.0000
2 Tb 0.1959 0.1959 0.8377
3 Tb 0.3120 0.3120 0.2697
4 Tb 0.6880 0.6880 0.7303
5 Tb 0.8041 0.8041 0.1623
6 Nd 0.0486 0.5572 0.6956
7 Nd 0.1154 0.1154 0.4415
8 Nd 0.1724 0.6128 0.0830
9 Nd 0.3872 0.8276 0.9170
10 Nd 0.4232 0.4232 0.7128
11 Nd 0.4428 0.9514 0.3044
12 Nd 0.5572 0.0486 0.6956
13 Nd 0.5768 0.5768 0.2872
14 Nd 0.6128 0.1724 0.0830
15 Nd 0.8276 0.3872 0.9170
16 Nd 0.8846 0.8846 0.5585
17 Nd 0.9514 0.4428 0.3044
18 Y 0.2736 0.7264 0.5000
19 Y 0.7264 0.2736 0.5000

Calculated values
DFT formation energy ... 102 meV per atom
Distance to the lowest polymorph of the same formula ... 0 meV per atom

# 11
Below is crystalline Sr8HIr2 at its relaxed geometry, with properties calculated at the PBE level.

abc: 8.4049 8.4049 6.1675
angles: 90.80 90.80 82.26
Atoms (fractional coordinates):
1 Sr 0.1051 0.1051 0.2440
2 Sr 0.1345 0.6153 0.2610
3 Sr 0.3615 0.3615 0.7625
4 Sr 0.3847 0.8655 0.7390
5 Sr 0.6153 0.1345 0.2610
6 Sr 0.6385 0.6385 0.2375
7 Sr 0.8655 0.3847 0.7390
8 Sr 0.8949 0.8949 0.7560
9 H 0.5000 0.5000 0.5000
10 Ir 0.1356 0.1356 0.7442
11 Ir 0.8644 0.8644 0.2558

# 12
Below is crystalline KSr2CaMn at its relaxed geometry, with properties calculated at the PBE level.

abc: 6.4683 6.4683 5.4611
angles: 90.00 90.00 90.00
Atoms (fractional coordinates):
1 K 0.0000 0.0000 0.0000
2 Sr 0.0000 0.5000 0.0000
3 Sr 0.5000 0.0000 0.0000
4 Ca 0.5000 0.5000 0.5000
5 Mn 0.0000 0.0000 0.5000

Calculated values
DFT formation energy ... 982 meV per atom

# 13
Below is crystalline AlPRu at its relaxed geometry, with properties calculated at the PBE level.

abc: 2.9749 8.1652 8.1652
angles: 136.91 90.00 90.00
Atoms (fractional coordinates):
1 Al 0.0000 0.0000 0.0000
2 Al 0.0000 0.1164 0.5458
3 Al 0.0000 0.5458 0.1164
4 P 0.0000 0.5594 0.8125
5 P 0.0000 0.8125 0.5594
6 P 0.5000 0.2946 0.2946
7 Ru 0.5000 0.1414 0.8602
8 Ru 0.5000 0.6660 0.6660
9 Ru 0.5000 0.8602 0.1414

Calculated values
DFT formation energy ... -387 meV per atom

# 14
Below is crystalline CrAg2Os at its relaxed geometry, with properties calculated at the PBE level.

abc: 4.7402 4.7402 4.7402
angles: 128.99 128.99 75.03
Atoms (fractional coordinates):
1 Cr 0.0000 0.0000 0.0000
2 Ag 0.5000 0.5000 0.0000
3 Ag 0.7500 0.2500 0.5000
4 Os 0.2500 0.7500 0.5000

Calculated values
DFT formation energy ... 660 meV per atom
Distance to the lowest polymorph of the same formula ... 345 meV per atom

# 15
Below is crystalline TiZnCoNi at its relaxed geometry, with properties calculated at the PBE level.

abc: 4.2783 4.2783 4.2783
angles: 125.69 125.69 80.40
Atoms (fractional coordinates):
1 Ti 0.0000 0.0000 0.0000
2 Zn 0.5000 0.5000 0.0000
3 Co 0.7500 0.2500 0.5000
4 Ni 0.2500 0.7500 0.5000

Calculated values
DFT formation energy ... -361 meV per atom
Distance to the lowest polymorph of the same formula ... 0 meV per atom

# 16
Below is crystalline SnBrN2O at its relaxed geometry, with properties calculated at the PBE level.

abc: 4.0776 4.0776 3.9784
angles: 90.00 90.00 90.00
Atoms (fractional coordinates):
1 Sn 0.0000 0.0000 0.0000
2 Br 0.5000 0.5000 0.5000
3 N 0.0000 0.5000 0.5000
4 N 0.5000 0.0000 0.5000
5 O 0.5000 0.5000 0.0000

Calculated values
ΔE_f (raw) ... 1.549 eV per atom

# 17
Below is crystalline Pr2AlZn2 at its relaxed geometry, with properties calculated at the PBE level.

abc: 7.0875 7.0875 4.7472
angles: 90.00 90.00 90.00
Atoms (fractional coordinates):
1 Pr 0.1761 0.3239 0.0000
2 Pr 0.3239 0.8239 0.0000
3 Pr 0.6761 0.1761 0.0000
4 Pr 0.8239 0.6761 0.0000
5 Al 0.0000 0.0000 0.5000
6 Al 0.5000 0.5000 0.5000
7 Zn 0.1290 0.6290 0.5000
8 Zn 0.3710 0.1290 0.5000
9 Zn 0.6290 0.8710 0.5000
10 Zn 0.8710 0.3710 0.5000

Calculated values
DFT formation energy ... -332 meV per atom

# 18
Below is crystalline Nd12Ir3O5 at its relaxed geometry, with properties calculated at the PBE level.

abc: 13.6153 13.6153 13.6153
angles: 109.47 109.47 109.47
Atoms (fractional coordinates):
1 Nd 0.0246 0.2079 0.1195
2 Nd 0.0246 0.3166 0.9051
3 Nd 0.0885 0.7079 0.6834
4 Nd 0.0885 0.8805 0.4051
5 Nd 0.0949 0.6195 0.4115
6 Nd 0.0949 0.9754 0.6834
7 Nd 0.1195 0.0246 0.2079
8 Nd 0.1195 0.5949 0.9115
9 Nd 0.1834 0.2079 0.5885
10 Nd 0.1834 0.4754 0.5949
11 Nd 0.2079 0.1195 0.0246
12 Nd 0.2079 0.5885 0.1834
13 Nd 0.2921 0.3166 0.9115
14 Nd 0.2921 0.4754 0.3805
15 Nd 0.3166 0.9051 0.0246
16 Nd 0.3166 0.9115 0.2921
17 Nd 0.3805 0.2921 0.4754
18 Nd 0.3805 0.5885 0.9051
19 Nd 0.4051 0.0885 0.8805
20 Nd 0.4051 0.8166 0.5246
21 Nd 0.4115 0.0949 0.6195
22 Nd 0.4115 0.8166 0.7921
23 Nd 0.4754 0.3805 0.2921
24 Nd 0.4754 0.5949 0.1834
25 Nd 0.5246 0.4051 0.8166
26 Nd 0.5246 0.6195 0.7079
27 Nd 0.5885 0.1834 0.2079
28 Nd 0.5885 0.9051 0.3805
29 Nd 0.5949 0.1834 0.4754
30 Nd 0.5949 0.9115 0.1195
31 Nd 0.6195 0.4115 0.0949
32 Nd 0.6195 0.7079 0.5246
33 Nd 0.6834 0.0885 0.7079
34 Nd 0.6834 0.0949 0.9754
35 Nd 0.7079 0.5246 0.6195
36 Nd 0.7079 0.6834 0.0885
37 Nd 0.7921 0.4115 0.8166
38 Nd 0.7921 0.8805 0.9754
39 Nd 0.8166 0.5246 0.4051
40 Nd 0.8166 0.7921 0.4115
41 Nd 0.8805 0.4051 0.0885
42 Nd 0.8805 0.9754 0.7921
43 Nd 0.9051 0.0246 0.3166
44 Nd 0.9051 0.3805 0.5885
45 Nd 0.9115 0.1195 0.5949
46 Nd 0.9115 0.2921 0.3166
47 Nd 0.9754 0.6834 0.0949
48 Nd 0.9754 0.7921 0.8805
49 Ir 0.1250 0.2500 0.3750
50 Ir 0.1250 0.3750 0.7500
51 Ir 0.2500 0.3750 0.1250
52 Ir 0.2500 0.8750 0.6250
53 Ir 0.3750 0.1250 0.2500
54 Ir 0.3750 0.7500 0.1250
55 Ir 0.6250 0.2500 0.8750
56 Ir 0.6250 0.8750 0.7500
57 Ir 0.7500 0.1250 0.3750
58 Ir 0.7500 0.6250 0.8750
59 Ir 0.8750 0.6250 0.2500
60 Ir 0.8750 0.7500 0.6250
61 O 0.0000 0.0000 0.0000
62 O 0.0000 0.0000 0.5000
63 O 0.0000 0.5000 0.0000
64 O 0.0000 0.5000 0.5000
65 O 0.1250 0.7500 0.8750
66 O 0.1250 0.8750 0.2500
67 O 0.2500 0.1250 0.8750
68 O 0.2500 0.6250 0.3750
69 O 0.3750 0.2500 0.6250
70 O 0.3750 0.6250 0.7500
71 O 0.5000 0.0000 0.0000
72 O 0.5000 0.0000 0.5000
73 O 0.5000 0.5000 0.0000
74 O 0.5000 0.5000 0.5000
75 O 0.6250 0.3750 0.2500
76 O 0.6250 0.7500 0.3750
77 O 0.7500 0.3750 0.6250
78 O 0.7500 0.8750 0.1250
79 O 0.8750 0.1250 0.7500
80 O 0.8750 0.2500 0.1250

Calculated values
ΔE_f (raw) ... -1.532 eV per atom

These records have total magnetic moment values of 0.0, 0.0, 0.0, 0.0, 0.0, 0.0, 0.0, 0.0, 0.0, 0.0, 0.0, 3.1, 0.0, 1.9, 0.0, 0.0, 0.0, 0.0 μB/f.u., in the order they appear.
These records have uncorrected energy values of -6.220, -4.010, -1.257, -3.632, -3.298, -3.641, -5.650, -7.894, -4.244, -4.808, -3.255, -2.144, -6.530, -5.979, -5.875, -3.908, -3.502, -6.961 eV/atom, in the order they appear.
These records have mass density values of 7.915, 4.088, 4.859, 6.104, 4.828, 8.290, 15.225, 12.058, 8.092, 6.867, 4.179, 2.248, 5.846, 12.136, 7.693, 6.091, 6.123, 8.162 g cm⁻³, in the order they appear.